1.
Entry from OQMD via LeMat-Bulk: YBi2Mo after structural relaxation (PBE).

POSCAR file:
```
YBi2Mo
1.0
0.000 3.667 3.667
3.667 0.000 3.667
3.667 3.667 0.000
Y Bi Mo
1 2 1
direct
0.000 0.000 0.000
0.250 0.250 0.250
0.500 0.500 0.500
0.750 0.750 0.750
```

VASP energy: -23.761 eV for the cell shown
symmetry: F-43m

2.
Entry from OQMD via LeMat-Bulk: Er3NiP after structural relaxation (PBE).

POSCAR file:
```
Er3NiP
1.0
5.138 0.000 0.000
0.000 5.138 0.000
0.000 0.000 5.138
Er Ni P
3 1 1
direct
0.000 0.000 0.500
0.000 0.500 0.000
0.500 0.000 0.000
0.500 0.500 0.500
0.000 0.000 0.000
```

VASP energy: -25.250 eV for the cell shown
symmetry: Pm-3m

3.
Entry from OQMD via LeMat-Bulk: ErSb2O4 after structural relaxation (PBE).

POSCAR file:
```
ErSb2O4
1.0
0.000 4.865 4.865
4.865 0.000 4.865
4.865 4.865 0.000
Er Sb O
2 4 8
direct
0.125 0.125 0.125
0.875 0.875 0.875
0.000 0.500 0.500
0.500 0.000 0.500
0.500 0.500 0.000
0.500 0.500 0.500
0.254 0.254 0.254
0.254 0.254 0.739
0.254 0.739 0.254
0.261 0.746 0.746
0.739 0.254 0.254
0.746 0.261 0.746
0.746 0.746 0.261
0.746 0.746 0.746
```

VASP energy: -86.961 eV for the cell shown
symmetry: Fd-3m

4.
Entry from OQMD via LeMat-Bulk: Al2Si2Tc after structural relaxation (PBE).

POSCAR file:
```
Al2Si2Tc
1.0
-1.698 1.698 6.444
1.698 -1.698 6.444
1.698 1.698 -6.444
Al Si Tc
2 2 1
direct
0.095 0.095 0.000
0.905 0.905 0.000
0.250 0.750 0.500
0.750 0.250 0.500
0.500 0.500 0.000
```

VASP energy: -27.582 eV for the cell shown
symmetry: I4/mmm

5.
Entry from OQMD via LeMat-Bulk: PmErTh after structural relaxation (PBE).

POSCAR file:
```
PmErTh
1.0
0.000 3.838 3.838
3.838 0.000 3.838
3.838 3.838 0.000
Pm Er Th
1 1 1
direct
0.000 0.000 0.000
0.250 0.250 0.250
0.500 0.500 0.500
```

VASP energy: -14.392 eV for the cell shown
symmetry: F-43m

6.
Entry from OQMD via LeMat-Bulk: LiYZnTe3 after structural relaxation (PBE).

POSCAR file:
```
LiYZnTe3
1.0
8.439 0.000 0.000
0.000 4.275 0.000
-2.729 0.000 10.191
Li Y Zn Te
2 2 2 6
direct
0.185 0.250 0.128
0.815 0.750 0.872
0.323 0.750 0.850
0.677 0.250 0.150
0.081 0.250 0.597
0.919 0.750 0.403
0.056 0.250 0.845
0.245 0.750 0.541
0.421 0.750 0.155
0.579 0.250 0.845
0.755 0.250 0.459
0.944 0.750 0.155
```

VASP energy: -49.827 eV for the cell shown
symmetry: P2_1/m